# 1
A geometry-optimized Dy3MgAu4 structure. Source: Alexandria via LeMat-Bulk, functional PBE-GGA.

a b c (Å): 4.9981 7.0952 9.9942
angles (deg): 90.00 90.00 90.00
Fractional coordinates of all 16 atoms:
Au (0.9998, 0.2527, 0.2500)
Au (0.5000, 0.7475, 0.5000)
Au (0.5000, 0.2525, 0.0000)
Au (0.5000, 0.7475, 0.0000)
Au (0.5000, 0.2525, 0.5000)
Au (0.0002, 0.7473, 0.7500)
Au (0.0002, 0.2527, 0.7500)
Au (0.9998, 0.7473, 0.2500)
Dy (0.0000, 0.0000, 0.5000)
Dy (0.5001, 0.0000, 0.7500)
Dy (0.0000, 0.0000, 0.0000)
Dy (0.4997, 0.5000, 0.2500)
Dy (0.4999, 0.0000, 0.2500)
Dy (0.5003, 0.5000, 0.7500)
Mg (0.0000, 0.5000, 0.5000)
Mg (0.0000, 0.5000, 0.0000)

Output
For the uncorrected energy, the calculation gives -69.85 eV for the cell shown. The calculated formation energy comes out at -0.802 eV/atom.

# 2
A geometry-optimized CeThGa2Rh5 structure. Source: Alexandria via LeMat-Bulk, functional PBE-GGA.

a b c (Å): 4.2186 4.2186 8.9640
angles (deg): 90.00 90.00 90.00
Fractional coordinates of all 9 atoms:
Th (0.0000, 0.0000, 0.0000)
Ce (0.0000, 0.0000, 0.5000)
Rh (0.5000, 0.5000, 0.5000)
Rh (0.5000, 0.0000, 0.7230)
Rh (0.0000, 0.5000, 0.7230)
Rh (0.5000, 0.0000, 0.2770)
Rh (0.0000, 0.5000, 0.2770)
Ga (0.5000, 0.5000, 0.1387)
Ga (0.5000, 0.5000, 0.8613)

Output
For the uncorrected energy, the calculation gives -62.88 eV for the cell shown. The calculated formation energy comes out at -0.746 eV/atom.

> Look up the calculated formation energy of the second one.

-0.746 eV/atom